1.
La8TlCu2 | PBE-GGA | relaxed

The structure in extended XYZ format:
```
11
Lattice="9.135 -2.561 0.000 9.135 2.561 0.000 -3.322 0.000 7.335" Properties=species:S:1:pos:R:3 pbc="T T T"
La -0.113 0.000 1.923
La 0.761 0.000 5.861
La 4.084 0.000 3.780
La 7.373 0.000 0.233
La 7.574 0.000 7.102
La 10.864 0.000 3.555
La 14.186 0.000 1.474
La 15.061 0.000 5.412
Tl 7.474 0.000 3.668
Cu 2.839 0.000 1.187
Cu 12.108 0.000 6.148
```

Results
**Excess energy over the best structure of this formula in the dataset**: 0.0 kJ/mol of atoms
**Symmetry**: No. 12
**Total moment**: 0.00 μB per formula unit
**ΔH_f (0 K)**: -0.13 eV per atom


2.
Pr3Nd4Pt2 | PBE-GGA | relaxed

The structure in extended XYZ format:
```
9
Lattice="6.049 0.000 0.000 -1.693 6.010 0.000 -1.045 -1.155 7.610" Properties=species:S:1:pos:R:3 pbc="T T T"
Pr 0.000 0.000 0.000
Pr 1.737 -0.544 5.359
Pr 1.574 5.399 2.251
Nd 0.176 1.913 2.979
Nd -0.316 2.222 6.874
Nd 3.627 2.633 0.735
Nd 3.135 2.942 4.630
Pt -1.373 4.690 2.686
Pt 4.684 0.165 4.924
```

Results
**Symmetry**: No. 2
**Total moment**: 0.00 μB per formula unit
**ΔH_f (0 K)**: -0.45 eV per atom


Which formula does entry 2 have?
Pr3Nd4Pt2


Repeat the first record exactly.
La8TlCu2 | PBE-GGA | relaxed

The structure in extended XYZ format:
```
11
Lattice="9.135 -2.561 0.000 9.135 2.561 0.000 -3.322 0.000 7.335" Properties=species:S:1:pos:R:3 pbc="T T T"
La -0.113 0.000 1.923
La 0.761 0.000 5.861
La 4.084 0.000 3.780
La 7.373 0.000 0.233
La 7.574 0.000 7.102
La 10.864 0.000 3.555
La 14.186 0.000 1.474
La 15.061 0.000 5.412
Tl 7.474 0.000 3.668
Cu 2.839 0.000 1.187
Cu 12.108 0.000 6.148
```

Results
**Excess energy over the best structure of this formula in the dataset**: 0.0 kJ/mol of atoms
**Symmetry**: No. 12
**Total moment**: 0.00 μB per formula unit
**ΔH_f (0 K)**: -0.13 eV per atom